Entry 1:
# MoIr2Cl

A geometry-optimized MoIr2Cl structure (PBE-GGA, Alexandria via LeMat-Bulk).

CIF file:
```
data_MoIr2Cl
_symmetry_space_group_name_H-M 'P 1'
_symmetry_Int_Tables_number 1
_cell_length_a 5.3473
_cell_length_b 5.3473
_cell_length_c 5.3473
_cell_angle_alpha 149.21
_cell_angle_beta 127.57
_cell_angle_gamma 62.05
loop_
_symmetry_equiv_pos_as_xyz
'x,y,z'
loop_
_atom_site_label
_atom_site_type_symbol
_atom_site_fract_x
_atom_site_fract_y
_atom_site_fract_z
_atom_site_occupancy
Mo1 Mo 0.0000 0.0000 0.0000 1
Ir1 Ir 0.2530 0.7530 0.5000 1
Ir2 Ir 0.5251 0.5251 0.0000 1
Cl1 Cl 0.7838 0.2838 0.5000 1
```

- energy above the lowest structure with this stoichiometry (meV per atom) = 473.5
- SG = No. 44
- raw formation energy (eV/atom) = 0.678
- D(E_F) (states/eV per cell) = 4.19

Entry 2:
# TiCr2S4

A geometry-optimized TiCr2S4 structure (PBE-GGA, Alexandria via LeMat-Bulk).

CIF file:
```
data_TiCr2S4
_symmetry_space_group_name_H-M 'P 1'
_symmetry_Int_Tables_number 1
_cell_length_a 6.6240
_cell_length_b 6.6240
_cell_length_c 6.1050
_cell_angle_alpha 117.15
_cell_angle_beta 117.15
_cell_angle_gamma 30.10
loop_
_symmetry_equiv_pos_as_xyz
'x,y,z'
loop_
_atom_site_label
_atom_site_type_symbol
_atom_site_fract_x
_atom_site_fract_y
_atom_site_fract_z
_atom_site_occupancy
Ti1 Ti 0.0000 0.0000 0.0000 1
Cr1 Cr 0.2582 0.2582 0.2465 1
Cr2 Cr 0.7418 0.7418 0.7535 1
S1 S 0.1288 0.1288 0.8052 1
S2 S 0.3676 0.3676 0.7026 1
S3 S 0.6324 0.6324 0.2974 1
S4 S 0.8712 0.8712 0.1948 1
```

- energy above the lowest structure with this stoichiometry (meV per atom) = 9.7
- SG = No. 12
- raw formation energy (eV/atom) = -0.915
- D(E_F) (states/eV per cell) = 3.76

Entry 3:
# MgMo2As

A geometry-optimized MgMo2As structure (PBE-GGA, Alexandria via LeMat-Bulk).

CIF file:
```
data_MgMo2As
_symmetry_space_group_name_H-M 'P 1'
_symmetry_Int_Tables_number 1
_cell_length_a 4.4704
_cell_length_b 4.4704
_cell_length_c 4.4704
_cell_angle_alpha 60.00
_cell_angle_beta 60.00
_cell_angle_gamma 60.00
loop_
_symmetry_equiv_pos_as_xyz
'x,y,z'
loop_
_atom_site_label
_atom_site_type_symbol
_atom_site_fract_x
_atom_site_fract_y
_atom_site_fract_z
_atom_site_occupancy
Mg1 Mg 0.0000 0.0000 0.0000 1
Mo1 Mo 0.2500 0.2500 0.2500 1
Mo2 Mo 0.7500 0.7500 0.7500 1
As1 As 0.5000 0.5000 0.5000 1
```

- energy above the lowest structure with this stoichiometry (meV per atom) = 442.3
- SG = No. 225
- formation energy from the elements (eV per formula unit) = 1.790
- D(E_F) (states/eV per cell) = 5.82

Entry 4:
# NiS

A geometry-optimized NiS structure (PBE-GGA, Alexandria via LeMat-Bulk).

CIF file:
```
data_NiS
_symmetry_space_group_name_H-M 'P 1'
_symmetry_Int_Tables_number 1
_cell_length_a 6.1893
_cell_length_b 6.1893
_cell_length_c 6.1893
_cell_angle_alpha 90.00
_cell_angle_beta 90.00
_cell_angle_gamma 90.00
loop_
_symmetry_equiv_pos_as_xyz
'x,y,z'
loop_
_atom_site_label
_atom_site_type_symbol
_atom_site_fract_x
_atom_site_fract_y
_atom_site_fract_z
_atom_site_occupancy
Ni1 Ni 0.0000 0.2500 0.5000 1
Ni2 Ni 0.0000 0.7500 0.5000 1
Ni3 Ni 0.2500 0.5000 0.0000 1
Ni4 Ni 0.5000 0.0000 0.2500 1
Ni5 Ni 0.5000 0.0000 0.7500 1
Ni6 Ni 0.7500 0.5000 0.0000 1
S1 S 0.0000 0.5000 0.2500 1
S2 S 0.0000 0.5000 0.7500 1
S3 S 0.2500 0.0000 0.5000 1
S4 S 0.5000 0.2500 0.0000 1
S5 S 0.5000 0.7500 0.0000 1
S6 S 0.7500 0.0000 0.5000 1
```

- SG = No. 223
- raw formation energy (eV/atom) = -0.253
- D(E_F) (states/eV per cell) = 10.83

Entry 5:
# FeMo7

A geometry-optimized FeMo7 structure (PBE-GGA, Alexandria via LeMat-Bulk).

CIF file:
```
data_FeMo7
_symmetry_space_group_name_H-M 'P 1'
_symmetry_Int_Tables_number 1
_cell_length_a 5.6035
_cell_length_b 5.6035
_cell_length_c 5.6035
_cell_angle_alpha 60.00
_cell_angle_beta 60.00
_cell_angle_gamma 60.00
loop_
_symmetry_equiv_pos_as_xyz
'x,y,z'
loop_
_atom_site_label
_atom_site_type_symbol
_atom_site_fract_x
_atom_site_fract_y
_atom_site_fract_z
_atom_site_occupancy
Fe1 Fe 0.0000 0.0000 0.0000 1
Mo1 Mo 0.0000 0.0000 0.5000 1
Mo2 Mo 0.0000 0.5000 0.0000 1
Mo3 Mo 0.0000 0.5000 0.5000 1
Mo4 Mo 0.5000 0.0000 0.0000 1
Mo5 Mo 0.5000 0.0000 0.5000 1
Mo6 Mo 0.5000 0.5000 0.0000 1
Mo7 Mo 0.5000 0.5000 0.5000 1
```

- SG = No. 225
- formation energy from the elements (eV per formula unit) = 2.790
- D(E_F) (states/eV per cell) = 10.88

Entry 6:
# BPtO3

A geometry-optimized BPtO3 structure (PBE-GGA, Alexandria via LeMat-Bulk).

CIF file:
```
data_BPtO3
_symmetry_space_group_name_H-M 'P 1'
_symmetry_Int_Tables_number 1
_cell_length_a 3.4152
_cell_length_b 3.4152
_cell_length_c 3.4152
_cell_angle_alpha 90.00
_cell_angle_beta 90.00
_cell_angle_gamma 90.00
loop_
_symmetry_equiv_pos_as_xyz
'x,y,z'
loop_
_atom_site_label
_atom_site_type_symbol
_atom_site_fract_x
_atom_site_fract_y
_atom_site_fract_z
_atom_site_occupancy
B1 B 0.0000 0.0000 0.0000 1
Pt1 Pt 0.5000 0.5000 0.5000 1
O1 O 0.0000 0.0000 0.5000 1
O2 O 0.0000 0.5000 0.0000 1
O3 O 0.5000 0.0000 0.0000 1
```

- SG = No. 221
- raw formation energy (eV/atom) = 0.099
- D(E_F) (states/eV per cell) = 5.41

Entry 7:
# Li2Mg8Ni

A geometry-optimized Li2Mg8Ni structure (PBE-GGA, Alexandria via LeMat-Bulk).

CIF file:
```
data_Li2Mg8Ni
_symmetry_space_group_name_H-M 'P 1'
_symmetry_Int_Tables_number 1
_cell_length_a 7.8986
_cell_length_b 7.8986
_cell_length_c 6.5695
_cell_angle_alpha 104.44
_cell_angle_beta 104.44
_cell_angle_gamma 33.85
loop_
_symmetry_equiv_pos_as_xyz
'x,y,z'
loop_
_atom_site_label
_atom_site_type_symbol
_atom_site_fract_x
_atom_site_fract_y
_atom_site_fract_z
_atom_site_occupancy
Li1 Li 0.2167 0.2167 0.1423 1
Li2 Li 0.7833 0.7833 0.8577 1
Mg1 Mg 0.0350 0.0350 0.2508 1
Mg2 Mg 0.1482 0.1482 0.6854 1
Mg3 Mg 0.3333 0.3333 0.5903 1
Mg4 Mg 0.4088 0.4088 0.0762 1
Mg5 Mg 0.5912 0.5912 0.9238 1
Mg6 Mg 0.6667 0.6667 0.4097 1
Mg7 Mg 0.8518 0.8518 0.3146 1
Mg8 Mg 0.9650 0.9650 0.7492 1
Ni1 Ni 0.5000 0.5000 0.5000 1
```

- energy above the lowest structure with this stoichiometry (meV per atom) = 43.5
- SG = No. 12
- formation energy from the elements (eV per formula unit) = -0.166
- D(E_F) (states/eV per cell) = 4.20

Entry 8:
# Sm3YPb5

A geometry-optimized Sm3YPb5 structure (PBE-GGA, Alexandria via LeMat-Bulk).

CIF file:
```
data_Sm3YPb5
_symmetry_space_group_name_H-M 'P 1'
_symmetry_Int_Tables_number 1
_cell_length_a 9.6540
_cell_length_b 9.6540
_cell_length_c 6.6069
_cell_angle_alpha 90.00
_cell_angle_beta 90.00
_cell_angle_gamma 120.00
loop_
_symmetry_equiv_pos_as_xyz
'x,y,z'
loop_
_atom_site_label
_atom_site_type_symbol
_atom_site_fract_x
_atom_site_fract_y
_atom_site_fract_z
_atom_site_occupancy
Sm1 Sm 0.0000 0.3814 0.2500 1
Sm2 Sm 0.0000 0.6186 0.7500 1
Sm3 Sm 0.3814 0.0000 0.2500 1
Sm4 Sm 0.3814 0.3814 0.7500 1
Sm5 Sm 0.6186 0.0000 0.7500 1
Sm6 Sm 0.6186 0.6186 0.2500 1
Y1 Y 0.0000 0.0000 0.0000 1
Y2 Y 0.0000 0.0000 0.5000 1
Pb1 Pb 0.0000 0.2855 0.7500 1
Pb2 Pb 0.0000 0.7145 0.2500 1
Pb3 Pb 0.2855 0.0000 0.7500 1
Pb4 Pb 0.2855 0.2855 0.2500 1
Pb5 Pb 0.3333 0.6667 0.0000 1
Pb6 Pb 0.3333 0.6667 0.5000 1
Pb7 Pb 0.6667 0.3333 0.0000 1
Pb8 Pb 0.6667 0.3333 0.5000 1
Pb9 Pb 0.7145 0.0000 0.2500 1
Pb10 Pb 0.7145 0.7145 0.7500 1
```

- SG = No. 193
- formation energy from the elements (eV per formula unit) = -4.185
- D(E_F) (states/eV per cell) = 17.72

Entry 9:
# Li5Tl6Cd

A geometry-optimized Li5Tl6Cd structure (PBE-GGA, Alexandria via LeMat-Bulk).

CIF file:
```
data_Li5Tl6Cd
_symmetry_space_group_name_H-M 'P 1'
_symmetry_Int_Tables_number 1
_cell_length_a 8.6449
_cell_length_b 8.6449
_cell_length_c 8.6449
_cell_angle_alpha 145.97
_cell_angle_beta 131.62
_cell_angle_gamma 60.47
loop_
_symmetry_equiv_pos_as_xyz
'x,y,z'
loop_
_atom_site_label
_atom_site_type_symbol
_atom_site_fract_x
_atom_site_fract_y
_atom_site_fract_z
_atom_site_occupancy
Li1 Li 0.0000 0.0000 0.0000 1
Li2 Li 0.1679 0.6679 0.5000 1
Li3 Li 0.3414 0.3414 0.0000 1
Li4 Li 0.6586 0.6586 0.0000 1
Li5 Li 0.8321 0.3321 0.5000 1
Tl1 Tl 0.0682 0.8276 0.2406 1
Tl2 Tl 0.2333 0.5000 0.7333 1
Tl3 Tl 0.4129 0.1724 0.2406 1
Tl4 Tl 0.5871 0.8276 0.7594 1
Tl5 Tl 0.7667 0.5000 0.2667 1
Tl6 Tl 0.9318 0.1724 0.7594 1
Cd1 Cd 0.5000 0.0000 0.5000 1
```

- SG = No. 71
- formation energy from the elements (eV per formula unit) = -2.146
- D(E_F) (states/eV per cell) = 3.34

Entry 10:
# Se2IN2

A geometry-optimized Se2IN2 structure (PBE-GGA, Alexandria via LeMat-Bulk).

CIF file:
```
data_Se2IN2
_symmetry_space_group_name_H-M 'P 1'
_symmetry_Int_Tables_number 1
_cell_length_a 4.5908
_cell_length_b 4.5908
_cell_length_c 4.1472
_cell_angle_alpha 90.00
_cell_angle_beta 90.00
_cell_angle_gamma 90.00
loop_
_symmetry_equiv_pos_as_xyz
'x,y,z'
loop_
_atom_site_label
_atom_site_type_symbol
_atom_site_fract_x
_atom_site_fract_y
_atom_site_fract_z
_atom_site_occupancy
Se1 Se 0.0000 0.5000 0.0000 1
Se2 Se 0.5000 0.0000 0.0000 1
I1 I 0.0000 0.0000 0.5000 1
N1 N 0.5000 0.5000 0.0000 1
N2 N 0.5000 0.5000 0.5000 1
```

- energy above the lowest structure with this stoichiometry (meV per atom) = 268.2
- SG = No. 123
- raw formation energy (eV/atom) = 1.859
- D(E_F) (states/eV per cell) = 3.70